## YGa3Cu (PBE-GGA)

Data for YGa3Cu after structural relaxation.

Cell and atoms, written as POSCAR:
```
YGa3Cu
1.0
4.667 0.000 0.000
0.000 4.667 0.000
0.000 0.000 4.667
Y Ga Cu
1 3 1
Direct
0.000 0.000 0.000
0.000 0.500 0.500
0.500 0.000 0.500
0.500 0.500 0.000
0.500 0.500 0.500
```

Results
ΔE to the lowest computed polymorph in meV/atom: 368
Raw total energy in Ha/atom: -0.1486
Formation energy in eV per formula unit: -0.57
Space-group type: No. 221